Density functional theory data (meta-GGA SCAN) for Cu8Hg at its PBEsol-relaxed geometry.

```
Cu8Hg
1.0
-0.752 -3.242 1.447
4.979 -2.360 1.851
-1.089 0.748 5.660
Cu Hg
8 1
Cartesian
-1.215 -1.704 4.653
0.831 -2.686 3.515
2.910 -1.300 3.150
1.501 -1.880 1.119
0.980 -0.312 4.362
2.308 -2.168 5.444
-0.626 -0.791 2.454
2.726 -3.722 2.180
0.000 0.000 0.000
```

N(E_F): 2.64 states/eV per cell
energy of formation from the pure elements: 0.07 eV per atom